DFT (PBE) results for an optimized crystal structure of La2Pr2Pt2Rh.

Computed properties:
energy of formation	-837	meV/atom
crystal system	triclinic
calculated total energy	-6.387	eV/atom

Geometry as CIF:
```
data_La2Pr2Pt2Rh
_symmetry_space_group_name_H-M 'P -1'
_symmetry_Int_Tables_number 2
_symmetry_space_group_name_Hall '-P 1'
_cell_length_a 4.020
_cell_length_b 7.509
_cell_length_c 7.722
_cell_angle_alpha 65.16
_cell_angle_beta 90.00
_cell_angle_gamma 74.57
loop_
_atom_site_label
_atom_site_fract_x
_atom_site_fract_y
_atom_site_fract_z
La1 0.028 0.444 0.259
Pr1 0.283 0.933 0.227
Pt1 0.382 0.735 0.950
Rh1 0.500 0.500 0.500
```